Record 1
Crystalline LaPrYHg at its relaxed geometry. Source: the Alexandria database, functional GGA-PBE.

Cell and atoms, written as CIF:
```
data_LaPrYHg
_chemical_formula_sum 'La4 Pr4 Y4 Hg4'
_cell_length_a 7.925
_cell_length_b 7.925
_cell_length_c 7.925
_cell_angle_alpha 90.00
_cell_angle_beta 90.00
_cell_angle_gamma 90.00
_symmetry_space_group_name_H-M 'F -4 3 m'
_symmetry_Int_Tables_number 216
_symmetry_space_group_name_Hall 'F -4 2 3'
loop_
_atom_site_label
_atom_site_type_symbol
_atom_site_fract_x
_atom_site_fract_y
_atom_site_fract_z
_atom_site_occupancy
La1 La 0.000 0.000 0.000 1
Pr1 Pr 0.000 0.000 0.500 1
Y1 Y 0.250 0.250 0.250 1
Hg1 Hg 0.250 0.250 0.750 1
```

* ΔE to the lowest computed polymorph: 164.0 meV/atom
* total DFT energy (no corrections): -4.191 eV/atom
* calculated formation energy: -73 meV/atom

=====

Record 2
Crystalline LaSmTiN3 at its relaxed geometry. Source: the Alexandria database, functional GGA-PBE.

Cell and atoms, written as CIF:
```
data_LaSmTiN3
_chemical_formula_sum 'La2 Sm2 Ti2 N6'
_cell_length_a 7.501
_cell_length_b 3.634
_cell_length_c 7.802
_cell_angle_alpha 90.00
_cell_angle_beta 98.30
_cell_angle_gamma 90.00
_symmetry_space_group_name_H-M 'P 1 21/m 1'
_symmetry_Int_Tables_number 11
_symmetry_space_group_name_Hall '-P 2yb'
loop_
_atom_site_label
_atom_site_type_symbol
_atom_site_fract_x
_atom_site_fract_y
_atom_site_fract_z
_atom_site_occupancy
La1 La 0.170 0.250 0.170 1
Sm1 Sm 0.370 0.750 0.835 1
Ti1 Ti 0.099 0.250 0.598 1
N1 N 0.110 0.250 0.847 1
N2 N 0.161 0.750 0.522 1
N3 N 0.397 0.750 0.135 1
```

* formation energy from raw total energies: -1288 meV/atom
* total DFT energy (no corrections): -8.374 eV/atom

=====

Record 3
Crystalline Sc2Si4Ir3 at its relaxed geometry. Source: the Alexandria database, functional GGA-PBE.

Cell and atoms, written as CIF:
```
data_Sc2Si4Ir3
_chemical_formula_sum 'Sc8 Si16 Ir12'
_cell_length_a 5.424
_cell_length_b 9.305
_cell_length_c 11.571
_cell_angle_alpha 90.00
_cell_angle_beta 90.00
_cell_angle_gamma 90.00
_symmetry_space_group_name_H-M 'F m m m'
_symmetry_Int_Tables_number 69
_symmetry_space_group_name_Hall '-F 2 2'
loop_
_atom_site_label
_atom_site_type_symbol
_atom_site_fract_x
_atom_site_fract_y
_atom_site_fract_z
_atom_site_occupancy
Sc1 Sc 0.000 0.000 0.132 1
Si1 Si 0.000 0.171 0.336 1
Ir1 Ir 0.000 0.000 0.500 1
Ir2 Ir 0.250 0.250 0.000 1
```

* formation energy from raw total energies: -684 meV/atom
* ΔE to the lowest computed polymorph: 249.9 meV/atom
* total DFT energy (no corrections): -7.455 eV/atom

=====

Record 4
Crystalline YHfMgTc at its relaxed geometry. Source: the Alexandria database, functional GGA-PBE.

Cell and atoms, written as CIF:
```
data_YHfMgTc
_chemical_formula_sum 'Y4 Hf4 Mg4 Tc4'
_cell_length_a 6.912
_cell_length_b 6.912
_cell_length_c 6.912
_cell_angle_alpha 90.00
_cell_angle_beta 90.00
_cell_angle_gamma 90.00
_symmetry_space_group_name_H-M 'F -4 3 m'
_symmetry_Int_Tables_number 216
_symmetry_space_group_name_Hall 'F -4 2 3'
loop_
_atom_site_label
_atom_site_type_symbol
_atom_site_fract_x
_atom_site_fract_y
_atom_site_fract_z
_atom_site_occupancy
Y1 Y 0.000 0.000 0.000 1
Hf1 Hf 0.000 0.000 0.500 1
Mg1 Mg 0.250 0.250 0.250 1
Tc1 Tc 0.250 0.250 0.750 1
```

* total DFT energy (no corrections): -7.126 eV/atom
* calculated formation energy: -32 meV/atom

=====

Record 5
Crystalline CsSrBi at its relaxed geometry. Source: the Alexandria database, functional GGA-PBE.

Cell and atoms, written as CIF:
```
data_CsSrBi
_chemical_formula_sum 'Cs8 Sr8 Bi8'
_cell_length_a 8.997
_cell_length_b 10.201
_cell_length_c 14.241
_cell_angle_alpha 90.00
_cell_angle_beta 90.00
_cell_angle_gamma 90.00
_symmetry_space_group_name_H-M 'F m m m'
_symmetry_Int_Tables_number 69
_symmetry_space_group_name_Hall '-F 2 2'
loop_
_atom_site_label
_atom_site_type_symbol
_atom_site_fract_x
_atom_site_fract_y
_atom_site_fract_z
_atom_site_occupancy
Cs1 Cs 0.000 0.249 0.000 1
Sr1 Sr 0.000 0.000 0.250 1
Bi1 Bi 0.250 0.250 0.250 1
```

* total DFT energy (no corrections): -2.638 eV/atom
* calculated formation energy: -500 meV/atom

=====

Record 6
Crystalline KAc5Se8 at its relaxed geometry. Source: the Alexandria database, functional GGA-PBE.

Cell and atoms, written as CIF:
```
data_KAc5Se8
_chemical_formula_sum 'K2 Ac10 Se16'
_cell_length_a 9.455
_cell_length_b 9.455
_cell_length_c 9.408
_cell_angle_alpha 90.00
_cell_angle_beta 90.00
_cell_angle_gamma 90.00
_symmetry_space_group_name_H-M 'I -4'
_symmetry_Int_Tables_number 82
_symmetry_space_group_name_Hall 'I -4'
loop_
_atom_site_label
_atom_site_type_symbol
_atom_site_fract_x
_atom_site_fract_y
_atom_site_fract_z
_atom_site_occupancy
K1 K 0.000 0.000 0.000 1
Ac1 Ac 0.000 0.500 0.250 1
Ac2 Ac 0.131 0.252 0.629 1
Se1 Se 0.076 0.179 0.309 1
Se2 Se 0.078 0.333 0.951 1
```

* formation energy from raw total energies: -1987 meV/atom
* total DFT energy (no corrections): -5.524 eV/atom

=====

Record 7
Crystalline SrInAsN2 at its relaxed geometry. Source: the Alexandria database, functional GGA-PBE.

Cell and atoms, written as CIF:
```
data_SrInAsN2
_chemical_formula_sum 'Sr1 In1 As1 N2'
_cell_length_a 4.459
_cell_length_b 4.459
_cell_length_c 5.373
_cell_angle_alpha 90.00
_cell_angle_beta 90.00
_cell_angle_gamma 90.00
_symmetry_space_group_name_H-M 'P 4/m m m'
_symmetry_Int_Tables_number 123
_symmetry_space_group_name_Hall '-P 4 2'
loop_
_atom_site_label
_atom_site_type_symbol
_atom_site_fract_x
_atom_site_fract_y
_atom_site_fract_z
_atom_site_occupancy
Sr1 Sr 0.000 0.000 0.000 1
In1 In 0.500 0.500 0.500 1
As1 As 0.500 0.500 0.000 1
N1 N 0.000 0.500 0.500 1
```

* formation energy from raw total energies: 816 meV/atom
* total DFT energy (no corrections): -4.328 eV/atom

=====

Record 8
Crystalline PrNd2Rh at its relaxed geometry. Source: the Alexandria database, functional GGA-PBE.

Cell and atoms, written as CIF:
```
data_PrNd2Rh
_chemical_formula_sum 'Pr4 Nd8 Rh4'
_cell_length_a 7.369
_cell_length_b 9.987
_cell_length_c 6.523
_cell_angle_alpha 90.00
_cell_angle_beta 90.00
_cell_angle_gamma 90.00
_symmetry_space_group_name_H-M 'P n m a'
_symmetry_Int_Tables_number 62
_symmetry_space_group_name_Hall '-P 2ac 2n'
loop_
_atom_site_label
_atom_site_type_symbol
_atom_site_fract_x
_atom_site_fract_y
_atom_site_fract_z
_atom_site_occupancy
Pr1 Pr 0.035 0.250 0.145 1
Nd1 Nd 0.175 0.066 0.668 1
Rh1 Rh 0.121 0.750 0.428 1
```

* ΔE to the lowest computed polymorph: 0.0 meV/atom
* total DFT energy (no corrections): -5.834 eV/atom
* calculated formation energy: -417 meV/atom

=====

Record 9
Crystalline CaHf2As2 at its relaxed geometry. Source: the Alexandria database, functional GGA-PBE.

Cell and atoms, written as CIF:
```
data_CaHf2As2
_chemical_formula_sum 'Ca2 Hf4 As4'
_cell_length_a 5.094
_cell_length_b 5.094
_cell_length_c 9.418
_cell_angle_alpha 90.00
_cell_angle_beta 90.00
_cell_angle_gamma 90.00
_symmetry_space_group_name_H-M 'I 4/m m m'
_symmetry_Int_Tables_number 139
_symmetry_space_group_name_Hall '-I 4 2'
loop_
_atom_site_label
_atom_site_type_symbol
_atom_site_fract_x
_atom_site_fract_y
_atom_site_fract_z
_atom_site_occupancy
Ca1 Ca 0.000 0.000 0.000 1
Hf1 Hf 0.000 0.000 0.340 1
As1 As 0.000 0.500 0.250 1
```

* ΔE to the lowest computed polymorph: 272.1 meV/atom
* total DFT energy (no corrections): -6.709 eV/atom
* calculated formation energy: -467 meV/atom

=====

Record 10
Crystalline Rb3BiF8 at its relaxed geometry. Source: the Alexandria database, functional GGA-PBE.

Cell and atoms, written as CIF:
```
data_Rb3BiF8
_chemical_formula_sum 'Rb6 Bi2 F16'
_cell_length_a 6.232
_cell_length_b 6.232
_cell_length_c 12.165
_cell_angle_alpha 90.00
_cell_angle_beta 90.00
_cell_angle_gamma 90.00
_symmetry_space_group_name_H-M 'I 4/m m m'
_symmetry_Int_Tables_number 139
_symmetry_space_group_name_Hall '-I 4 2'
loop_
_atom_site_label
_atom_site_type_symbol
_atom_site_fract_x
_atom_site_fract_y
_atom_site_fract_z
_atom_site_occupancy
Rb1 Rb 0.000 0.000 0.000 1
Rb2 Rb 0.000 0.500 0.250 1
Bi1 Bi 0.000 0.000 0.500 1
F1 F 0.202 0.202 0.396 1
```

* formation energy from raw total energies: -2383 meV/atom
* total DFT energy (no corrections): -4.196 eV/atom

=====

Record 11
Crystalline La2TaBr at its relaxed geometry. Source: the Alexandria database, functional GGA-PBE.

Cell and atoms, written as CIF:
```
data_La2TaBr
_chemical_formula_sum 'La2 Ta1 Br1'
_cell_length_a 4.393
_cell_length_b 4.393
_cell_length_c 6.014
_cell_angle_alpha 90.00
_cell_angle_beta 90.00
_cell_angle_gamma 90.00
_symmetry_space_group_name_H-M 'P 4/m m m'
_symmetry_Int_Tables_number 123
_symmetry_space_group_name_Hall '-P 4 2'
loop_
_atom_site_label
_atom_site_type_symbol
_atom_site_fract_x
_atom_site_fract_y
_atom_site_fract_z
_atom_site_occupancy
La1 La 0.000 0.000 0.000 1
La2 La 0.500 0.500 0.500 1
Ta1 Ta 0.000 0.000 0.500 1
Br1 Br 0.500 0.500 0.000 1
```

* formation energy from raw total energies: -91 meV/atom
* ΔE to the lowest computed polymorph: 182.2 meV/atom
* total DFT energy (no corrections): -5.936 eV/atom

=====

Record 12
Crystalline AlHgSe at its relaxed geometry. Source: the Alexandria database, functional GGA-PBE.

Cell and atoms, written as CIF:
```
data_AlHgSe
_chemical_formula_sum 'Al1 Hg1 Se1'
_cell_length_a 5.1685
_cell_length_b 5.1685
_cell_length_c 2.8581
_cell_angle_alpha 90.00
_cell_angle_beta 90.00
_cell_angle_gamma 120.00
_symmetry_space_group_name_H-M 'P 3 m 1'
_symmetry_Int_Tables_number 156
_symmetry_space_group_name_Hall 'P 3 -2"'
loop_
_atom_site_label
_atom_site_type_symbol
_atom_site_fract_x
_atom_site_fract_y
_atom_site_fract_z
_atom_site_occupancy
Al1 Al 0.0000 0.0000 0.0000 1
Hg1 Hg 0.3333 0.6667 0.5071 1
Se1 Se 0.6667 0.3333 0.0015 1
```

* formation energy from raw total energies: 127 meV/atom
* ΔE to the lowest computed polymorph: 548.7 meV/atom
* total DFT energy (no corrections): -2.382 eV/atom

=====

Record 13
Crystalline Hf2VBOs at its relaxed geometry. Source: the Alexandria database, functional GGA-PBE.

Cell and atoms, written as CIF:
```
data_Hf2VBOs
_chemical_formula_sum 'Hf2 V1 B1 Os1'
_cell_length_a 4.817
_cell_length_b 4.817
_cell_length_c 3.820
_cell_angle_alpha 90.00
_cell_angle_beta 90.00
_cell_angle_gamma 90.00
_symmetry_space_group_name_H-M 'P 4/m m m'
_symmetry_Int_Tables_number 123
_symmetry_space_group_name_Hall '-P 4 2'
loop_
_atom_site_label
_atom_site_type_symbol
_atom_site_fract_x
_atom_site_fract_y
_atom_site_fract_z
_atom_site_occupancy
Hf1 Hf 0.000 0.500 0.000 1
V1 V 0.000 0.000 0.000 1
B1 B 0.000 0.000 0.500 1
Os1 Os 0.500 0.500 0.500 1
```

* total DFT energy (no corrections): -8.249 eV/atom
* calculated formation energy: 1137 meV/atom

=====

Record 14
Crystalline TaGeSe2 at its relaxed geometry. Source: the Alexandria database, functional GGA-PBE.

Cell and atoms, written as CIF:
```
data_TaGeSe2
_chemical_formula_sum 'Ta3 Ge3 Se6'
_cell_length_a 3.3722
_cell_length_b 3.3722
_cell_length_c 27.3790
_cell_angle_alpha 90.00
_cell_angle_beta 90.00
_cell_angle_gamma 120.00
_symmetry_space_group_name_H-M 'R -3 m'
_symmetry_Int_Tables_number 166
_symmetry_space_group_name_Hall '-R 3 2"'
loop_
_atom_site_label
_atom_site_type_symbol
_atom_site_fract_x
_atom_site_fract_y
_atom_site_fract_z
_atom_site_occupancy
Ta1 Ta 0.0000 0.0000 0.0000 1
Ge1 Ge 0.0000 0.0000 0.5000 1
Se1 Se 0.0000 0.0000 0.3965 1
```

* formation energy from raw total energies: -381 meV/atom
* total DFT energy (no corrections): -6.241 eV/atom

=====

Record 15
Crystalline RbCaCuTe2 at its relaxed geometry. Source: the Alexandria database, functional GGA-PBE.

Cell and atoms, written as CIF:
```
data_RbCaCuTe2
_chemical_formula_sum 'Rb4 Ca4 Cu4 Te8'
_cell_length_a 7.888
_cell_length_b 16.640
_cell_length_c 5.896
_cell_angle_alpha 90.00
_cell_angle_beta 90.00
_cell_angle_gamma 90.00
_symmetry_space_group_name_H-M 'C m m e'
_symmetry_Int_Tables_number 67
_symmetry_space_group_name_Hall '-C 2a 2'
loop_
_atom_site_label
_atom_site_type_symbol
_atom_site_fract_x
_atom_site_fract_y
_atom_site_fract_z
_atom_site_occupancy
Rb1 Rb 0.000 0.250 0.238 1
Ca1 Ca 0.250 0.000 0.500 1
Cu1 Cu 0.000 0.000 0.000 1
Te1 Te 0.000 0.116 0.742 1
```

* formation energy from raw total energies: -896 meV/atom
* ΔE to the lowest computed polymorph: 0.0 meV/atom
* total DFT energy (no corrections): -3.565 eV/atom

=====

Record 16
Crystalline Pt3SeF at its relaxed geometry. Source: the Alexandria database, functional GGA-PBE.

Cell and atoms, written as CIF:
```
data_Pt3SeF
_chemical_formula_sum 'Pt3 Se1 F1'
_cell_length_a 4.692
_cell_length_b 4.692
_cell_length_c 4.692
_cell_angle_alpha 90.00
_cell_angle_beta 90.00
_cell_angle_gamma 90.00
_symmetry_space_group_name_H-M 'P m -3 m'
_symmetry_Int_Tables_number 221
_symmetry_space_group_name_Hall '-P 4 2 3'
loop_
_atom_site_label
_atom_site_type_symbol
_atom_site_fract_x
_atom_site_fract_y
_atom_site_fract_z
_atom_site_occupancy
Pt1 Pt 0.000 0.000 0.500 1
Se1 Se 0.000 0.000 0.000 1
F1 F 0.500 0.500 0.500 1
```

* formation energy from raw total energies: 648 meV/atom
* ΔE to the lowest computed polymorph: 0.0 meV/atom
* total DFT energy (no corrections): -4.048 eV/atom

=====

Record 17
Crystalline Pr3Nd5Tm4 at its relaxed geometry. Source: the Alexandria database, functional GGA-PBE.

Cell and atoms, written as CIF:
```
data_Pr3Nd5Tm4
_chemical_formula_sum 'Pr6 Nd10 Tm8'
_cell_length_a 16.307
_cell_length_b 6.025
_cell_length_c 9.353
_cell_angle_alpha 90.00
_cell_angle_beta 116.18
_cell_angle_gamma 90.00
_symmetry_space_group_name_H-M 'C 1 2/m 1'
_symmetry_Int_Tables_number 12
_symmetry_space_group_name_Hall '-C 2y'
loop_
_atom_site_label
_atom_site_type_symbol
_atom_site_fract_x
_atom_site_fract_y
_atom_site_fract_z
_atom_site_occupancy
Pr1 Pr 0.000 0.000 0.000 1
Pr2 Pr 0.208 0.500 0.227 1
Nd1 Nd 0.000 0.500 0.000 1
Nd2 Nd 0.076 0.000 0.699 1
Nd3 Nd 0.173 0.000 0.386 1
Tm1 Tm 0.082 0.500 0.442 1
Tm2 Tm 0.211 0.500 0.875 1
```

* total DFT energy (no corrections): -4.447 eV/atom
* calculated formation energy: 225 meV/atom